No. 1
The following is a DFT calculation (GGA-PBE) of a relaxed SrRe2Ir2 crystal.

Computed properties:
E	-8.77	eV/atom
formation energy	0.0942	eV/atom
symmetry	P4/mbm (127)

Cell: 7.950 7.950 2.768 Å, 90.00 90.00 90.00°
Positions (direct):
1 Re 0.617 0.117 0.000
2 Re 0.117 0.383 0.000
3 Re 0.383 0.883 0.000
4 Re 0.883 0.617 0.000
5 Ir 0.830 0.330 0.500
6 Ir 0.330 0.170 0.500
7 Ir 0.670 0.830 0.500
8 Ir 0.170 0.670 0.500
9 Sr 0.000 0.000 0.000
10 Sr 0.500 0.500 0.000


No. 2
The following is a DFT calculation (GGA-PBE) of a relaxed Sr2ReIr crystal.

Computed properties:
E	-5.10	eV/atom
formation energy	1.0632	eV/atom
symmetry	Fm-3m (225)

Cell: 5.198 5.198 5.198 Å, 60.00 60.00 60.00°
Site moments in Bohr magnetons follow the coordinates.
Positions (direct):
1 Sr 0.750 0.750 0.750  0.02
2 Sr 0.250 0.250 0.250  0.02
3 Ir 0.500 0.500 0.500  0.41
4 Re 0.000 0.000 0.000  2.43


No. 3
The following is a DFT calculation (GGA-PBE) of a relaxed SrReIr2 crystal.

Computed properties:
E	-7.44	eV/atom
formation energy	0.5223	eV/atom
symmetry	P4mm (99)

Cell: 3.154 3.154 7.740 Å, 90.00 90.00 90.00°
Positions (direct):
1 Ir 0.500 0.500 0.264
2 Ir 0.000 0.000 0.051
3 Re 0.000 0.000 0.426
4 Sr 0.500 0.500 0.759


No. 4
The following is a DFT calculation (GGA-PBE) of a relaxed Sr2ReIr crystal.

Computed properties:
E	-5.21	eV/atom
formation energy	0.9539	eV/atom
symmetry	I4/mmm (139)

Cell: 5.627 5.627 5.627 Å, 133.82 133.82 67.37°
Site moments in Bohr magnetons follow the coordinates.
Positions (direct):
1 Re 0.750 0.250 0.500  1.67
2 Sr 0.500 0.500 0.000  -0.01
3 Sr 0.000 0.000 0.000  -0.01
4 Ir 0.250 0.750 0.500  0.32


No. 5
The following is a DFT calculation (GGA-PBE) of a relaxed SrReIr2 crystal.

Computed properties:
E	-7.40	eV/atom
formation energy	0.5645	eV/atom
symmetry	I-42d (122)

Cell: 7.563 7.563 6.159 Å, 52.12 52.12 90.00°
Positions (direct):
1 Ir 0.699 0.125 0.250
2 Ir 0.375 0.301 0.750
3 Ir 0.875 0.949 0.750
4 Ir 0.051 0.625 0.250
5 Re 0.000 0.000 0.000
6 Re 0.750 0.250 0.500
7 Sr 0.500 0.500 0.000
8 Sr 0.250 0.750 0.500


No. 6
The following is a DFT calculation (GGA-PBE) of a relaxed TaReIr4 crystal.

Computed properties:
E	-9.80	eV/atom
formation energy	0.1573	eV/atom
symmetry	F-43m (216)

Cell: 5.118 5.118 5.118 Å, 60.00 60.00 60.00°
Positions (direct):
1 Re 0.750 0.750 0.750
2 Ir 0.874 0.375 0.375
3 Ir 0.375 0.375 0.375
4 Ir 0.375 0.375 0.874
5 Ir 0.375 0.874 0.375
6 Ta 0.000 0.000 0.000


No. 7
The following is a DFT calculation (GGA-PBE) of a relaxed TaReIr2 crystal.

Computed properties:
E	-10.67	eV/atom
formation energy	-0.1661	eV/atom
symmetry	R-3m (166)

Cell: 9.252 9.252 9.252 Å, 17.40 17.40 17.40°
Positions (direct):
1 Re 0.250 0.250 0.250
2 Ir 0.503 0.503 0.503
3 Ir 0.997 0.997 0.997
4 Ta 0.750 0.750 0.750


No. 8
The following is a DFT calculation (GGA-PBE) of a relaxed TaReIr2 crystal.

Computed properties:
E	-10.94	eV/atom
formation energy	-0.4311	eV/atom
symmetry	Cmmm (65)

Cell: 6.233 4.819 2.791 Å, 89.95 63.48 121.17°
Positions (direct):
1 Re 0.000 0.500 0.500
2 Ir 0.500 0.000 0.500
3 Ir 0.000 0.000 0.000
4 Ta 0.500 0.500 0.000


No. 9
The following is a DFT calculation (GGA-PBE) of a relaxed TaReIr2 crystal.

Computed properties:
E	-10.95	eV/atom
formation energy	-0.4406	eV/atom
symmetry	I4/mmm (139)

Cell: 4.824 4.824 4.824 Å, 131.75 131.73 70.64°
Positions (direct):
1 Ir 0.000 0.000 0.000
2 Ir 0.500 0.500 0.000
3 Ta 0.750 0.250 0.500
4 Re 0.250 0.750 0.500


No. 10
The following is a DFT calculation (GGA-PBE) of a relaxed TaReIr2 crystal.

Computed properties:
E	-10.83	eV/atom
formation energy	-0.3290	eV/atom
symmetry	Cm (8)

Cell: 4.809 4.809 4.869 Å, 80.45 80.45 33.93°
Positions (direct):
1 Ir 0.000 0.000 0.007
2 Ir 0.753 0.753 0.728
3 Re 0.496 0.496 0.532
4 Ta 0.251 0.251 0.233


No. 11
The following is a DFT calculation (GGA-PBE) of a relaxed TaReIr2 crystal.

Computed properties:
E	-10.89	eV/atom
formation energy	-0.3884	eV/atom
symmetry	P4/mmm (123)

Cell: 2.785 2.785 7.901 Å, 90.00 90.00 90.00°
Positions (direct):
1 Ir 0.000 0.000 0.489
2 Ir 0.000 0.000 0.011
3 Re 0.500 0.500 0.250
4 Ta 0.500 0.500 0.750


No. 12
The following is a DFT calculation (GGA-PBE) of a relaxed TaReIr2 crystal.

Computed properties:
E	-10.58	eV/atom
formation energy	-0.0768	eV/atom
symmetry	R3m (160)

Cell: 9.357 9.357 9.357 Å, 17.17 17.17 17.17°
Positions (direct):
1 Ir 0.248 0.248 0.248
2 Ir 0.999 0.999 0.999
3 Re 0.505 0.505 0.505
4 Ta 0.748 0.748 0.748


No. 13
The following is a DFT calculation (GGA-PBE) of a relaxed Ta3ReIr crystal.

Computed properties:
E	-9.89	eV/atom
formation energy	1.4847	eV/atom
symmetry	Pm-3m (221)

Cell: 4.769 4.769 4.769 Å, 90.00 90.00 90.00°
Positions (direct):
1 Ta 0.000 0.000 0.500
2 Ta 0.500 0.000 0.000
3 Ta 0.000 0.500 0.000
4 Re 0.000 0.000 0.000
5 Ir 0.500 0.500 0.500


No. 14
The following is a DFT calculation (GGA-PBE) of a relaxed TaRe4Ir crystal.

Computed properties:
E	-11.65	eV/atom
formation energy	0.1014	eV/atom
symmetry	F-43m (216)

Cell: 5.147 5.147 5.147 Å, 60.00 60.00 60.00°
Positions (direct):
1 Re 0.374 0.374 0.878
2 Re 0.878 0.374 0.374
3 Re 0.374 0.878 0.374
4 Re 0.374 0.374 0.374
5 Ta 0.750 0.750 0.750
6 Ir 0.000 0.000 0.000


No. 15
The following is a DFT calculation (GGA-PBE) of a relaxed TaReIr2 crystal.

Computed properties:
E	-10.48	eV/atom
formation energy	0.0268	eV/atom
symmetry	F-43m (216)

Cell: 4.458 4.458 4.458 Å, 60.00 60.00 60.00°
Positions (direct):
1 Ta 0.250 0.250 0.250
2 Ir 0.000 0.000 0.000
3 Ir 0.750 0.750 0.750
4 Re 0.500 0.500 0.500


No. 16
The following is a DFT calculation (GGA-PBE) of a relaxed Ta4ReIr crystal.

Computed properties:
E	-11.08	eV/atom
formation energy	0.3766	eV/atom
symmetry	F-43m (216)

Cell: 5.292 5.292 5.292 Å, 60.00 60.00 60.00°
Positions (direct):
1 Ta 0.123 0.626 0.626
2 Ta 0.626 0.626 0.123
3 Ta 0.626 0.626 0.626
4 Ta 0.626 0.123 0.626
5 Ir 0.250 0.250 0.250
6 Re 0.000 0.000 0.000


No. 17
The following is a DFT calculation (GGA-PBE) of a relaxed TaReIr2 crystal.

Computed properties:
E	-10.98	eV/atom
formation energy	-0.4742	eV/atom
symmetry	P4/mmm (123)

Cell: 3.943 3.943 3.935 Å, 90.00 90.00 90.00°
Positions (direct):
1 Ir 0.500 0.500 0.000
2 Ir 0.000 0.000 0.000
3 Ta 0.000 0.500 0.500
4 Re 0.500 0.000 0.500


No. 18
The following is a DFT calculation (GGA-PBE) of a relaxed TaReIr2 crystal.

Computed properties:
E	-10.85	eV/atom
formation energy	-0.3401	eV/atom
symmetry	I-4m2 (119)

Cell: 4.843 4.843 4.842 Å, 131.97 131.98 70.28°
Positions (direct):
1 Ir 0.250 0.750 0.500
2 Ir 0.000 0.000 0.000
3 Re 0.500 0.500 0.000
4 Ta 0.750 0.250 0.500


No. 19
The following is a DFT calculation (GGA-PBE) of a relaxed Ta5Re4Ir crystal.

Computed properties:
E	-12.20	eV/atom
formation energy	-0.4066	eV/atom
symmetry	P4/mmm (123)

Cell: 3.214 3.214 15.890 Å, 90.00 90.00 90.00°
Positions (direct):
1 Ta 0.500 0.500 0.899
2 Ta 0.500 0.500 0.101
3 Ta 0.500 0.500 0.300
4 Ta 0.500 0.500 0.500
5 Ta 0.500 0.500 0.700
6 Re 0.000 0.000 0.802
7 Re 0.000 0.000 0.198
8 Re 0.000 0.000 0.400
9 Re 0.000 0.000 0.600
10 Ir 0.000 0.000 0.000


No. 20
The following is a DFT calculation (GGA-PBE) of a relaxed TaReIr2 crystal.

Computed properties:
E	-9.67	eV/atom
formation energy	0.8335	eV/atom
symmetry	I-42d (122)

Cell: 5.720 5.720 6.960 Å, 65.74 65.74 90.00°
Positions (direct):
1 Re 0.750 0.250 0.500
2 Re 0.000 0.000 0.000
3 Ir 0.875 0.893 0.750
4 Ir 0.375 0.357 0.750
5 Ir 0.107 0.625 0.250
6 Ir 0.643 0.125 0.250
7 Ta 0.500 0.500 0.000
8 Ta 0.250 0.750 0.500


No. 21
The following is a DFT calculation (GGA-PBE) of a relaxed TaReIr2 crystal.

Computed properties:
E	-10.93	eV/atom
formation energy	-0.4260	eV/atom
symmetry	Pmm2 (25)

Cell: 4.506 2.795 4.861 Å, 90.00 90.00 90.00°
Positions (direct):
1 Re 0.000 0.625 0.446
2 Ir 0.500 0.125 0.305
3 Ir 0.000 0.125 0.953
4 Ta 0.500 0.625 0.797


No. 22
The following is a DFT calculation (GGA-PBE) of a relaxed TaReIr2 crystal.

Computed properties:
E	-10.93	eV/atom
formation energy	-0.4253	eV/atom
symmetry	Pmmm (47)

Cell: 3.918 2.796 6.255 Å, 63.51 90.00 90.00°
Positions (direct):
1 Ta 0.500 0.750 0.750
2 Re 0.500 0.250 0.250
3 Ir 0.000 0.991 0.009
4 Ir 0.000 0.509 0.491


No. 23
The following is a DFT calculation (GGA-PBE) of a relaxed Ta3ReIr crystal.

Computed properties:
E	-9.88	eV/atom
formation energy	1.4897	eV/atom
symmetry	Pm-3m (221)

Cell: 4.761 4.761 4.761 Å, 90.00 90.00 90.00°
Positions (direct):
1 Re 0.500 0.500 0.500
2 Ta 0.500 0.000 0.000
3 Ta 0.000 0.000 0.500
4 Ta 0.000 0.500 0.000
5 Ir 0.000 0.000 0.000


No. 24
The following is a DFT calculation (GGA-PBE) of a relaxed Ta4ReIr2 crystal.

Computed properties:
E	-10.11	eV/atom
formation energy	0.9681	eV/atom
symmetry	I4/mmm (139)

Cell: 4.755 4.755 7.331 Å, 71.08 71.08 90.00°
Positions (direct):
1 Ta 0.000 0.500 0.000
2 Ta 0.500 0.000 0.000
3 Ta 0.197 0.197 0.607
4 Ta 0.803 0.803 0.393
5 Ir 0.387 0.387 0.227
6 Ir 0.613 0.613 0.773
7 Re 0.000 0.000 0.000


No. 25
The following is a DFT calculation (GGA-PBE) of a relaxed TaReIr2 crystal.

Computed properties:
E	-10.75	eV/atom
formation energy	-0.2412	eV/atom
symmetry	C2/m (12)

Cell: 4.854 4.854 4.795 Å, 80.45 80.45 33.66°
Positions (direct):
1 Ta 0.250 0.250 0.250
2 Ir 0.497 0.497 0.509
3 Ir 0.003 0.003 0.991
4 Re 0.750 0.750 0.750


No. 26
The following is a DFT calculation (GGA-PBE) of a relaxed TaReIr2 crystal.

Computed properties:
E	-10.32	eV/atom
formation energy	0.1834	eV/atom
symmetry	Fm-3m (225)

Cell: 4.474 4.474 4.474 Å, 60.00 60.00 60.00°
Positions (direct):
1 Re 0.500 0.500 0.500
2 Ta 0.000 0.000 0.000
3 Ir 0.250 0.250 0.250
4 Ir 0.750 0.750 0.750


No. 27
The following is a DFT calculation (GGA-PBE) of a relaxed TaReIr2 crystal.

Computed properties:
E	-10.71	eV/atom
formation energy	-0.2069	eV/atom
symmetry	P4mm (99)

Cell: 2.785 2.785 8.004 Å, 90.00 90.00 90.00°
Positions (direct):
1 Re 0.000 0.000 0.482
2 Ir 0.500 0.500 0.258
3 Ir 0.000 0.000 0.003
4 Ta 0.500 0.500 0.757


No. 28
The following is a DFT calculation (GGA-PBE) of a relaxed Ta2ReTcIr crystal.

Computed properties:
E	-9.41	eV/atom
formation energy	1.6626	eV/atom
symmetry	P4/mmm (123)

Cell: 4.781 4.657 4.781 Å, 90.00 90.00 90.00°
Site moments in Bohr magnetons follow the coordinates.
Positions (direct):
1 Ta 0.500 0.000 0.000  -0.13
2 Ta 0.000 0.000 0.500  -0.14
3 Ir 0.000 0.000 0.000  0.03
4 Tc 0.500 0.500 0.500  1.69
5 Re 0.000 0.500 0.000  0.02


No. 29
The following is a DFT calculation (GGA-PBE) of a relaxed TaZnReIr crystal.

Computed properties:
E	-8.79	eV/atom
formation energy	-0.1799	eV/atom
symmetry	F-43m (216)

Cell: 4.432 4.432 4.432 Å, 60.00 60.00 60.00°
Positions (direct):
1 Ta 0.750 0.750 0.750
2 Ir 0.500 0.500 0.500
3 Re 0.000 0.000 0.000
4 Zn 0.250 0.250 0.250